[1]
TmPtRh | PBE | relaxed

Cell: 4.127 7.873 6.856 Å, 73.30 90.00 90.00°
Fractional coordinates of all 12 atoms:
Tm 0.750 0.798 0.308
Rh 0.250 0.542 0.330
Rh 0.750 0.458 0.670
Pt 0.750 0.125 0.999
Rh 0.750 0.958 0.670
Rh 0.250 0.042 0.330
Pt 0.250 0.875 0.001
Tm 0.250 0.202 0.692
Tm 0.250 0.702 0.692
Pt 0.750 0.625 0.999
Pt 0.250 0.375 0.001
Tm 0.750 0.298 0.308

Values from the calculation:
Relative energy among the computed polymorphs (meV per atom): 56
Energy of formation (eV/atom): -0.85
Magnetic moment (μB per cell): 0.00
DOS(E_F) (states/eV/cell): 7.9
Mass density (Mg/m³): 14.53
Space group: P2_1/m
Raw total energy (eV/atom): -6.807


[2]
Tm4Pt3Rh | PBE | relaxed

Cell: 4.865 4.865 7.644 Å, 108.52 108.52 90.00°
Fractional coordinates of all 8 atoms:
Tm 0.876 0.876 0.751
Tm 0.124 0.124 0.249
Pt 0.744 0.244 0.489
Tm 0.624 0.624 0.249
Tm 0.376 0.376 0.751
Pt 0.000 0.500 0.000
Pt 0.256 0.756 0.511
Rh 0.500 0.000 0.000

Values from the calculation:
Energy of formation (eV/atom): -1.21
Magnetic moment (μB per cell): 0.00
DOS(E_F) (states/eV/cell): 4.3
Mass density (Mg/m³): 14.01
Space group: I4/mmm
Raw total energy (eV/atom): -6.628


[3]
Tm2PtRh | PBE | relaxed

Cell: 4.825 4.825 4.825 Å, 60.00 60.00 60.00°
Fractional coordinates of all 4 atoms:
Tm 0.250 0.250 0.250
Rh 0.000 0.000 0.000
Pt 0.500 0.500 0.500
Tm 0.750 0.750 0.750

Values from the calculation:
Energy of formation (eV/atom): -1.12
Magnetic moment (μB per cell): 0.00
DOS(E_F) (states/eV/cell): 1.3
Mass density (Mg/m³): 13.29
Space group: Fm-3m
Raw total energy (eV/atom): -6.707


[4]
Tm6Pt5Rh | PBE | relaxed

Cell: 4.849 8.420 8.420 Å, 119.99 106.73 106.73°
Fractional coordinates of all 12 atoms:
Pt 0.000 0.669 0.331
Tm 0.751 0.585 0.917
Pt 0.500 0.837 0.163
Tm 0.249 0.083 0.415
Tm 0.249 0.415 0.083
Pt 0.500 0.500 0.500
Pt 0.500 0.163 0.837
Pt 0.000 0.331 0.669
Tm 0.751 0.917 0.585
Tm 0.251 0.751 0.751
Tm 0.749 0.249 0.249
Rh 0.000 0.000 0.000

Values from the calculation:
Energy of formation (eV/atom): -1.24
Magnetic moment (μB per cell): 0.00
DOS(E_F) (states/eV/cell): 5.1
Mass density (Mg/m³): 14.27
Space group: Immm
Raw total energy (eV/atom): -6.601


[5]
Tm2Pt9Rh | PBE | relaxed

Cell: 4.033 4.033 12.219 Å, 90.00 90.00 90.00°
Each line ends with the local moment (μB).
Fractional coordinates of all 12 atoms:
Pt 0.500 0.000 0.841  0.12
Pt 0.500 0.500 0.330  0.02
Rh 0.000 0.000 0.000  0.56
Pt 0.000 0.500 0.500  0.01
Pt 0.500 0.000 0.500  0.01
Tm 0.000 0.000 0.331  0.00
Pt 0.000 0.500 0.159  0.12
Pt 0.000 0.500 0.841  0.12
Pt 0.500 0.500 0.000  0.12
Pt 0.500 0.500 0.670  0.02
Pt 0.500 0.000 0.159  0.12
Tm 0.000 0.000 0.669  0.00

Values from the calculation:
Energy of formation (eV/atom): -0.69
Magnetic moment (μB per cell): 1.24
DOS(E_F) (states/eV/cell): 14.7
Mass density (Mg/m³): 18.36
Space group: P4/mmm
Raw total energy (eV/atom): -6.581


[6]
TmPtRh | PBE | relaxed

Cell: 4.652 5.638 4.653 Å, 90.00 119.99 90.00°
Fractional coordinates of all 6 atoms:
Pt 0.000 0.000 0.500
Rh 0.667 0.250 0.833
Tm 0.667 0.750 0.833
Rh 0.333 0.750 0.167
Pt 0.000 0.500 0.500
Tm 0.333 0.250 0.167

Values from the calculation:
Relative energy among the computed polymorphs (meV per atom): 0
Energy of formation (eV/atom): -0.91
Magnetic moment (μB per cell): 0.00
DOS(E_F) (states/eV/cell): 2.2
Mass density (Mg/m³): 14.67
Space group: P6_3/mmc
Raw total energy (eV/atom): -6.863